# 1
Here is crystalline RbBa2AsCl at its relaxed geometry from the Alexandria database. Energies are from PBE.

Cell lengths 6.328, 6.867, 6.328 Å; angles 90.00, 90.00, 90.00 degrees
Atoms (fractional coordinates):
Ba (0.500, 0.000, 0.000)
As (0.000, 0.000, 0.000)
Rb (0.000, 0.500, 0.000)
Cl (0.500, 0.500, 0.500)
Ba (0.000, 0.000, 0.500)

Calculated values
Formation energy from raw total energies, eV per atom: -0.8637



# 2
Here is crystalline LaMnSe4 at its relaxed geometry from the Alexandria database. Energies are from PBE.

Cell lengths 5.842, 5.842, 5.842 Å; angles 60.00, 60.00, 60.00 degrees
Last column: magnetic moment on the atom in μB.
Atoms (fractional coordinates):
Se (0.375, 0.375, 0.375)  0.05
Se (0.876, 0.375, 0.375)  0.05
Mn (0.000, 0.000, 0.000)  4.35
Se (0.375, 0.876, 0.375)  0.05
Se (0.375, 0.375, 0.876)  0.05
La (0.750, 0.750, 0.750)  0.01

Calculated values
Formation energy from raw total energies, eV per atom: -0.0005



# 3
Here is crystalline SrCu2Tc at its relaxed geometry from the Alexandria database. Energies are from PBE.

Cell lengths 4.789, 4.789, 9.222 Å; angles 74.95, 74.95, 90.00 degrees
Last column: magnetic moment on the atom in μB.
Atoms (fractional coordinates):
Cu (0.875, 0.625, 0.250)  0.20
Tc (0.750, 0.250, 0.500)  2.11
Tc (0.000, 0.000, 0.000)  2.10
Cu (0.875, 0.125, 0.250)  0.20
Cu (0.875, 0.125, 0.750)  0.18
Sr (0.500, 0.500, 0.000)  0.00
Cu (0.375, 0.125, 0.750)  0.16
Sr (0.250, 0.750, 0.500)  0.00

Calculated values
ΔE to the lowest computed polymorph, kJ/mol of formula units: 157.1
Energy of formation from the pure elements, eV per atom: 0.72



# 4
Here is crystalline SmSi4Ir2 at its relaxed geometry from the Alexandria database. Energies are from PBE.

Cell lengths 4.184, 6.454, 16.741 Å; angles 90.00, 90.00, 90.00 degrees
Atoms (fractional coordinates):
Si (0.250, 0.362, 0.032)
Si (0.750, 0.862, 0.468)
Ir (0.250, 0.747, 0.533)
Ir (0.250, 0.512, 0.288)
Si (0.250, 0.809, 0.182)
Ir (0.750, 0.247, 0.967)
Ir (0.750, 0.012, 0.212)
Ir (0.750, 0.488, 0.712)
Si (0.750, 0.309, 0.318)
Sm (0.750, 0.007, 0.641)
Sm (0.750, 0.493, 0.141)
Ir (0.750, 0.253, 0.467)
Ir (0.250, 0.988, 0.788)
Ir (0.250, 0.753, 0.033)
Si (0.250, 0.464, 0.435)
Si (0.750, 0.536, 0.565)
Sm (0.250, 0.507, 0.859)
Si (0.750, 0.786, 0.807)
Si (0.250, 0.286, 0.693)
Sm (0.250, 0.993, 0.359)
Si (0.750, 0.638, 0.968)
Si (0.750, 0.714, 0.307)
Si (0.750, 0.964, 0.065)
Si (0.250, 0.036, 0.935)
Si (0.250, 0.691, 0.682)
Si (0.750, 0.191, 0.818)
Si (0.250, 0.138, 0.532)
Si (0.250, 0.214, 0.193)

Calculated values
Formation energy from raw total energies, eV per atom: -0.7748



# 5
Here is crystalline Mg2ZnIr at its relaxed geometry from the Alexandria database. Energies are from PBE.

Cell lengths 4.311, 3.076, 5.348 Å; angles 73.69, 90.00, 90.00 degrees
Atoms (fractional coordinates):
Mg (0.000, 0.969, 0.942)
Mg (0.500, 0.285, 0.301)
Ir (0.500, 0.559, 0.762)
Zn (0.000, 0.688, 0.494)

Calculated values
Energy of formation from the pure elements, eV per atom: -0.25



# 6
Here is crystalline NpTcS4 at its relaxed geometry from the Alexandria database. Energies are from PBE.

Cell lengths 6.829, 5.670, 7.406 Å; angles 90.00, 121.34, 90.00 degrees
Last column: magnetic moment on the atom in μB.
Atoms (fractional coordinates):
Tc (0.000, 0.500, 0.500)  -0.05
S (0.646, 0.261, 0.791)  -0.10
S (0.354, 0.739, 0.209)  -0.10
S (0.835, 0.749, 0.655)  -0.07
S (0.165, 0.251, 0.345)  -0.07
S (0.146, 0.239, 0.791)  -0.10
S (0.335, 0.751, 0.655)  -0.07
Tc (0.500, 0.000, 0.500)  -0.05
S (0.665, 0.249, 0.345)  -0.07
S (0.854, 0.761, 0.209)  -0.10
Np (0.000, 0.000, 0.000)  2.63
Np (0.500, 0.500, 0.000)  2.63

Calculated values
Formation energy from raw total energies, eV per atom: -0.7098



# 7
Here is crystalline Sr2ScCu at its relaxed geometry from the Alexandria database. Energies are from PBE.

Cell lengths 3.653, 3.653, 9.660 Å; angles 90.00, 90.00, 90.00 degrees
Atoms (fractional coordinates):
Sc (0.500, 0.500, 0.667)
Sr (0.000, 0.000, 0.954)
Cu (0.000, 0.000, 0.556)
Sr (0.500, 0.500, 0.323)

Calculated values
ΔE to the lowest computed polymorph, kJ/mol of formula units: 0.0
Energy of formation from the pure elements, eV per atom: 0.07



# 8
Here is crystalline TcAs5 at its relaxed geometry from the Alexandria database. Energies are from PBE.

Cell lengths 5.042, 5.042, 4.855 Å; angles 90.00, 90.00, 120.00 degrees
Atoms (fractional coordinates):
As (0.333, 0.667, 0.500)
As (0.667, 0.333, 0.500)
Tc (0.000, 0.000, 0.500)
As (0.000, 0.705, 0.000)
As (0.295, 0.295, 0.000)
As (0.705, 0.000, 0.000)

Calculated values
ΔE to the lowest computed polymorph, kJ/mol of formula units: 186.6
Energy of formation from the pure elements, eV per atom: 0.37



# 9
Here is crystalline MgTaN2F at its relaxed geometry from the Alexandria database. Energies are from PBE.

Cell lengths 4.088, 4.088, 3.981 Å; angles 90.00, 90.00, 90.00 degrees
Atoms (fractional coordinates):
Ta (0.000, 0.000, 0.000)
N (0.500, 0.000, 0.000)
F (0.000, 0.000, 0.500)
Mg (0.500, 0.500, 0.500)
N (0.000, 0.500, 0.000)

Calculated values
ΔE to the lowest computed polymorph, kJ/mol of formula units: 0.0
Formation energy from raw total energies, eV per atom: -0.9369



# 10
Here is crystalline Ca6Se5Cl at its relaxed geometry from the Alexandria database. Energies are from PBE.

Cell lengths 7.251, 7.254, 7.254 Å; angles 60.00, 80.44, 70.60 degrees
Atoms (fractional coordinates):
Cl (0.000, 0.000, 0.000)
Ca (0.743, 0.086, 0.342)
Ca (0.746, 0.743, 0.000)
Ca (0.254, 0.257, 0.000)
Ca (0.257, 0.914, 0.658)
Se (0.500, 0.500, 0.000)
Se (0.500, 0.163, 0.674)
Se (0.000, 0.333, 0.335)
Ca (0.257, 0.572, 0.342)
Se (0.000, 0.667, 0.665)
Se (0.500, 0.837, 0.326)
Ca (0.743, 0.428, 0.658)

Calculated values
Formation energy from raw total energies, eV per atom: -1.9681



# 11
Here is crystalline Be2SnPb at its relaxed geometry from the Alexandria database. Energies are from PBE.

Cell lengths 4.787, 4.787, 4.787 Å; angles 60.00, 60.00, 60.00 degrees
Atoms (fractional coordinates):
Pb (0.500, 0.500, 0.500)
Sn (0.000, 0.000, 0.000)
Be (0.250, 0.250, 0.250)
Be (0.750, 0.750, 0.750)

Calculated values
ΔE to the lowest computed polymorph, kJ/mol of formula units: 81.2
Energy of formation from the pure elements, eV per atom: 0.75



# 12
Here is crystalline PuMn4Re at its relaxed geometry from the Alexandria database. Energies are from PBE.

Cell lengths 4.867, 4.867, 4.867 Å; angles 60.00, 60.00, 60.00 degrees
Last column: magnetic moment on the atom in μB.
Atoms (fractional coordinates):
Mn (0.626, 0.626, 0.123)  0.56
Mn (0.123, 0.626, 0.626)  0.56
Mn (0.626, 0.123, 0.626)  0.56
Pu (0.250, 0.250, 0.250)  -4.46
Mn (0.626, 0.626, 0.626)  0.56
Re (0.000, 0.000, 0.000)  -0.06

Calculated values
Energy of formation from the pure elements, eV per atom: 0.22